A plane-wave DFT calculation with PBE was carried out for a geometry-optimized HoPuTcNi structure.

a b c (Å): 4.7631 4.7631 4.7631
angles (deg): 60.00 60.00 60.00
Last column: nearest neighbours and their distance in Å.
Sites, in units of the cell vectors:
Tc  0.0000  0.0000  0.0000  4 Pu 2.92, 4 Ho 2.92
Ni  0.5000  0.5000  0.5000  4 Ho 2.92, 4 Pu 2.92
Ho  0.7500  0.7500  0.7500  4 Ni 2.92, 4 Tc 2.92
Pu  0.2500  0.2500  0.2500  4 Tc 2.92, 4 Ni 2.92

Output
The value obtained for the density of states at the Fermi level is 7.425 states/eV/f.u. The energy relative to the elements comes out at -0.06 eV per atom.

A plane-wave DFT calculation with PBE was carried out for a geometry-optimized SrTmTl6 structure.

a b c (Å): 4.8644 4.8644 9.7309
angles (deg): 90.00 90.00 90.00
Last column: nearest neighbours and their distance in Å.
Sites, in units of the cell vectors:
Sr  0.0000  0.0000  0.0000  12 Tl 3.44-3.52
Tm  0.0000  0.0000  0.5000  12 Tl 3.36-3.44
Tl  0.5000  0.5000  0.0000  4 Sr 3.44, 8 Tl 3.52
Tl  0.5000  0.5000  0.5000  8 Tl 3.36, 4 Tm 3.44
Tl  0.5000  0.0000  0.2612  8 Tl 3.36-3.52, 2 Tm 3.36, 2 Sr 3.52
Tl  0.5000  0.0000  0.7388  8 Tl 3.36-3.52, 2 Tm 3.36, 2 Sr 3.52
Tl  0.0000  0.5000  0.2612  8 Tl 3.36-3.52, 2 Tm 3.36, 2 Sr 3.52
Tl  0.0000  0.5000  0.7388  8 Tl 3.36-3.52, 2 Tm 3.36, 2 Sr 3.52

Output
The value obtained for the density of states at the Fermi level is 4.393 states/eV/f.u. The energy relative to the elements comes out at -0.22 eV per atom.

A plane-wave DFT calculation with PBE was carried out for a geometry-optimized Ta2NiI2 structure.

a b c (Å): 3.8351 3.8351 8.5813
angles (deg): 77.09 77.09 90.00
Last column: nearest neighbours and their distance in Å.
Sites, in units of the cell vectors:
I  0.3883  0.3883  0.2235  4 Ta 2.96, 4 Ni 3.27
I  0.6117  0.6117  0.7765  4 Ta 2.96, 4 Ni 3.27
Ni  0.0000  0.0000  0.0000  8 I 3.27
Ta  0.7500  0.2500  0.5000  4 Ta 2.71, 4 I 2.96
Ta  0.2500  0.7500  0.5000  4 Ta 2.71, 4 I 2.96

Output
The energy above the most stable polymorph in this dataset comes out at 0.000 eV/atom. The value obtained for the density of states at the Fermi level is 6.225 states/eV/f.u. The value obtained for the uncorrected formation energy is 444.4 kJ/mol of formula units.

The records above give, respectively, magnetic moment values of 1.00 0.00 0.08 μB per atom.